1.
# Tb2Ce2Er5 | Alexandria via LeMat-Bulk | PBE | optimized geometry
# Energy of formation from the pure elements ... 0.067 eV/atom
data_Tb2Ce2Er5
_chemical_formula_sum 'Tb4 Ce4 Er10'
_cell_length_a 14.903
_cell_length_b 5.011
_cell_length_c 7.838
_cell_angle_alpha 90.00
_cell_angle_beta 108.34
_cell_angle_gamma 90.00
_space_group_name_H-M_alt 'C 1 2/m 1'
_space_group_IT_number 12
loop_
_space_group_symop_operation_xyz
'x,y,z'
'-x,-y,-z'
'-x,y,-z'
'x,-y,z'
'x+1/2,y+1/2,z'
'-x+1/2,-y+1/2,-z'
'-x+1/2,y+1/2,-z'
'x+1/2,-y+1/2,z'
loop_
_atom_site_label
_atom_site_type_symbol
_atom_site_fract_x
_atom_site_fract_y
_atom_site_fract_z
_atom_site_occupancy
Tb1 Tb 0.055 0.000 0.335 1
Ce1 Ce 0.109 0.500 0.664 1
Er1 Er 0.000 0.500 0.000 1
Er2 Er 0.168 0.000 0.998 1
Er3 Er 0.222 0.500 0.333 1

***

2.
# TbCeEr2 | Alexandria via LeMat-Bulk | PBE | optimized geometry
# Energy of formation from the pure elements ... 0.040 eV/atom
# Distance to the lowest polymorph of the same formula ... 0 meV per atom
data_TbCeEr2
_chemical_formula_sum 'Tb3 Ce3 Er6'
_cell_length_a 3.5277
_cell_length_b 3.5277
_cell_length_c 34.0191
_cell_angle_alpha 90.00
_cell_angle_beta 90.00
_cell_angle_gamma 120.00
_space_group_name_H-M_alt 'R 3 m'
_space_group_IT_number 160
_space_group_name_Hall 'R 3 -2"'
loop_
_atom_site_label
_atom_site_type_symbol
_atom_site_fract_x
_atom_site_fract_y
_atom_site_fract_z
_atom_site_occupancy
Tb1 Tb 0.0000 0.0000 0.0000 1
Ce1 Ce 0.0000 0.0000 0.8343 1
Er1 Er 0.0000 0.0000 0.2496 1
Er2 Er 0.0000 0.0000 0.4183 1

***

3.
# TbCe2Er8 | Alexandria via LeMat-Bulk | PBE | optimized geometry
# Energy of formation from the pure elements ... 0.205 eV/atom
data_TbCe2Er8
_chemical_formula_sum 'Tb2 Ce4 Er16'
_cell_length_a 18.535
_cell_length_b 6.953
_cell_length_c 5.490
_cell_angle_alpha 90.00
_cell_angle_beta 92.56
_cell_angle_gamma 90.00
_space_group_name_H-M_alt 'C 1 2/m 1'
_space_group_IT_number 12
loop_
_space_group_symop_operation_xyz
'x,y,z'
'-x,-y,-z'
'-x,y,-z'
'x,-y,z'
'x+1/2,y+1/2,z'
'-x+1/2,-y+1/2,-z'
'-x+1/2,y+1/2,-z'
'x+1/2,-y+1/2,z'
loop_
_atom_site_label
_atom_site_type_symbol
_atom_site_fract_x
_atom_site_fract_y
_atom_site_fract_z
_atom_site_occupancy
Tb1 Tb 0.000 0.000 0.000 1
Ce1 Ce 0.214 0.500 0.256 1
Er1 Er 0.046 0.500 0.238 1
Er2 Er 0.131 0.268 0.735 1
Er3 Er 0.186 0.000 0.233 1

***

4.
# TbCeEr5 | Alexandria via LeMat-Bulk | PBE | optimized geometry
# Energy of formation from the pure elements ... 0.199 eV/atom
data_TbCeEr5
_chemical_formula_sum 'Tb4 Ce4 Er20'
_cell_length_a 11.544
_cell_length_b 12.111
_cell_length_c 6.603
_cell_angle_alpha 90.00
_cell_angle_beta 107.25
_cell_angle_gamma 90.00
_space_group_name_H-M_alt 'C 1 2/c 1'
_space_group_IT_number 15
loop_
_space_group_symop_operation_xyz
'x,y,z'
'-x,-y,-z'
'-x,y,-z+1/2'
'x,-y,z+1/2'
'x+1/2,y+1/2,z'
'-x+1/2,-y+1/2,-z'
'-x+1/2,y+1/2,-z+1/2'
'x+1/2,-y+1/2,z+1/2'
loop_
_atom_site_label
_atom_site_type_symbol
_atom_site_fract_x
_atom_site_fract_y
_atom_site_fract_z
_atom_site_occupancy
Tb1 Tb 0.000 0.000 0.000 1
Ce1 Ce 0.000 0.421 0.250 1
Er1 Er 0.000 0.282 0.750 1
Er2 Er 0.174 0.206 0.265 1
Er3 Er 0.237 0.450 0.075 1